Entry 1:
Li2CrW | PBE-GGA | relaxed

Output
Crystal system: tetragonal
Energy of formation from the pure elements, eV per atom: 0.93
Energy above the lowest structure with this stoichiometry, meV per atom: 600

a b c (Å): 4.439 4.439 2.860
angles (deg): 90.00 90.00 90.00
Space group P4/mmm (No. 123)
One atom of each set of equivalent atoms:
Li 0.000 0.500 0.000 [2 per cell]
Cr 0.000 0.000 0.500 [1 per cell]
W 0.500 0.500 0.500 [1 per cell]

=====

Entry 2:
ReAgP2O | PBE-GGA | relaxed

Output
Uncorrected formation energy, eV per atom: -0.011
Crystal system: tetragonal
Energy above the lowest structure with this stoichiometry, meV per atom: 0

a b c (Å): 4.790 4.790 3.724
angles (deg): 90.00 90.00 90.00
Space group P4/mmm (No. 123)
One atom of each set of equivalent atoms:
Re 0.000 0.000 0.000 [1 per cell]
Ag 0.500 0.500 0.500 [1 per cell]
P 0.000 0.500 0.000 [2 per cell]
O 0.000 0.000 0.500 [1 per cell]

=====

Entry 3:
TiSi2C | PBE-GGA | relaxed

Output
Uncorrected formation energy, eV per atom: 1.266
Crystal system: cubic
Energy above the lowest structure with this stoichiometry, meV per atom: 1069

a b c (Å): 6.004 6.004 6.004
angles (deg): 90.00 90.00 90.00
Space group Fm-3m (No. 225)
One atom of each set of equivalent atoms:
Ti 0.000 0.000 0.000 [4 per cell]
Si 0.250 0.250 0.250 [8 per cell]
C 0.000 0.000 0.500 [4 per cell]

=====

Entry 4:
Pm2Er5Th2 | PBE-GGA | relaxed

Output
Crystal system: monoclinic
Energy of formation from the pure elements, eV per atom: 0.26
Energy above the lowest structure with this stoichiometry, meV per atom: 72

a b c (Å): 22.299 3.470 8.072
angles (deg): 90.00 99.09 90.00
Space group C2/m (No. 12)
One atom of each set of equivalent atoms:
Pm 0.176 0.000 0.150 [4 per cell]
Er 0.000 0.000 0.000 [2 per cell]
Er 0.091 0.000 0.728 [4 per cell]
Er 0.192 0.500 0.544 [4 per cell]
Th 0.052 0.500 0.352 [4 per cell]

=====

Entry 5:
TaGaI2O | PBE-GGA | relaxed

Output
Uncorrected formation energy, eV per atom: 0.319
Crystal system: tetragonal
Energy above the lowest structure with this stoichiometry, meV per atom: 933

a b c (Å): 5.730 5.730 3.555
angles (deg): 90.00 90.00 90.00
Space group P4/mmm (No. 123)
One atom of each set of equivalent atoms:
Ta 0.000 0.000 0.000 [1 per cell]
Ga 0.500 0.500 0.500 [1 per cell]
I 0.000 0.500 0.500 [2 per cell]
O 0.500 0.500 0.000 [1 per cell]

=====

Entry 6:
Pr2AlPd | PBE-GGA | relaxed

Output
Crystal system: cubic
Energy of formation from the pure elements, eV per atom: -0.44
Energy above the lowest structure with this stoichiometry, meV per atom: 100

a b c (Å): 7.458 7.458 7.458
angles (deg): 90.00 90.00 90.00
Space group Fm-3m (No. 225)
One atom of each set of equivalent atoms:
Pr 0.250 0.250 0.250 [8 per cell]
Al 0.000 0.000 0.000 [4 per cell]
Pd 0.000 0.000 0.500 [4 per cell]

=====

Entry 7:
Pr2Zn4GaAg3 | PBE-GGA | relaxed

Output
Crystal system: tetragonal
Energy of formation from the pure elements, eV per atom: -0.27

a b c (Å): 4.261 4.261 11.443
angles (deg): 90.00 90.00 90.00
Space group P-4m2 (No. 115)
One atom of each set of equivalent atoms:
Pr 0.000 0.500 0.242 [2 per cell]
Zn 0.000 0.000 0.500 [1 per cell]
Zn 0.000 0.500 0.866 [2 per cell]
Zn 0.500 0.500 0.500 [1 per cell]
Ga 0.500 0.500 0.000 [1 per cell]
Ag 0.000 0.000 0.000 [1 per cell]
Ag 0.000 0.500 0.640 [2 per cell]

=====

Entry 8:
CrInAgTe2 | PBE-GGA | relaxed

Output
Uncorrected formation energy, eV per atom: 0.789
Crystal system: tetragonal

a b c (Å): 5.739 5.739 5.119
angles (deg): 90.00 90.00 90.00
Space group P4/mmm (No. 123)
One atom of each set of equivalent atoms:
Cr 0.000 0.000 0.000 [1 per cell]
In 0.500 0.500 0.500 [1 per cell]
Ag 0.500 0.500 0.000 [1 per cell]
Te 0.000 0.500 0.500 [2 per cell]

=====

Entry 9:
LiCdSb2I | PBE-GGA | relaxed

Output
Uncorrected formation energy, eV per atom: 0.283
Crystal system: tetragonal
Energy above the lowest structure with this stoichiometry, meV per atom: 0

a b c (Å): 5.137 5.137 5.461
angles (deg): 90.00 90.00 90.00
Space group P4/mmm (No. 123)
One atom of each set of equivalent atoms:
Li 0.000 0.000 0.000 [1 per cell]
Cd 0.500 0.500 0.500 [1 per cell]
Sb 0.000 0.500 0.000 [2 per cell]
I 0.000 0.000 0.500 [1 per cell]

=====

Entry 10:
Ac2AlPbO6 | PBE-GGA | relaxed

Output
Uncorrected formation energy, eV per atom: -2.547
Crystal system: tetragonal

a b c (Å): 5.620 5.620 5.029
angles (deg): 90.00 90.00 90.00
Space group P4mm (No. 99)
One atom of each set of equivalent atoms:
Ac 0.000 0.500 0.000 [2 per cell]
Al 0.000 0.000 0.571 [1 per cell]
Pb 0.500 0.500 0.548 [1 per cell]
O 0.000 0.000 0.214 [1 per cell]
O 0.227 0.227 0.696 [4 per cell]
O 0.500 0.500 0.098 [1 per cell]

=====

Entry 11:
EuDyTmAl | PBE-GGA | relaxed

Output
Crystal system: cubic
Energy of formation from the pure elements, eV per atom: -0.02

a b c (Å): 7.600 7.600 7.600
angles (deg): 90.00 90.00 90.00
Space group F-43m (No. 216)
One atom of each set of equivalent atoms:
Eu 0.000 0.000 0.000 [4 per cell]
Dy 0.250 0.250 0.250 [4 per cell]
Tm 0.250 0.250 0.750 [4 per cell]
Al 0.000 0.000 0.500 [4 per cell]

=====

Entry 12:
BaCu2As | PBE-GGA | relaxed

Output
Crystal system: tetragonal
Energy of formation from the pure elements, eV per atom: 0.14

a b c (Å): 4.996 4.996 7.228
angles (deg): 90.00 90.00 90.00
Space group I-4m2 (No. 119)
One atom of each set of equivalent atoms:
Ba 0.000 0.000 0.000 [2 per cell]
Cu 0.000 0.000 0.500 [2 per cell]
Cu 0.000 0.500 0.750 [2 per cell]
As 0.000 0.500 0.250 [2 per cell]

=====

no.,V (Å³ per cell),M_tot (μB per atom)
1,56,0.61
2,85,0.00
3,216,0.04
4,617,0.00
5,117,0.53
6,415,0.00
7,208,0.00
8,169,0.88
9,144,0.00
10,159,0.00
11,439,1.82
12,180,0.00